Record 1
Below is a geometry-optimized InCo2Cu structure, with properties calculated at the PBE level.

Cell: 4.442 4.307 5.721 Å, 90.00 90.73 90.00°
Fractional positions:
In (0.000, 0.000, 0.000)
In (0.442, 0.500, 0.987)
Co (0.415, 0.500, 0.477)
Co (0.529, 0.000, 0.278)
Co (0.914, 0.500, 0.284)
Co (0.917, 0.500, 0.706)
Cu (0.044, 0.000, 0.496)
Cu (0.541, 0.000, 0.706)

Its formation energy is 0.20 eV per atom. Its calculated density is 8.99 Mg/m³. Its calculated total energy is -5.06 eV per atom.


Record 2
Below is a geometry-optimized Sr3PbN structure, with properties calculated at the PBE level.

Cell: 4.770 4.770 8.945 Å, 90.00 90.00 90.00°
Fractional positions:
Sr (0.000, 0.000, 0.000)
Sr (0.000, 0.500, 0.643)
Sr (0.500, 0.000, 0.643)
Pb (0.000, 0.000, 0.356)
N (0.500, 0.500, 0.748)

For the uncorrected formation energy, the calculation gives 145 meV per atom. Its calculated density is 3.95 Mg/m³. Its calculated total energy is -3.27 eV per atom.